A plane-wave DFT calculation with PBE-GGA was carried out for crystalline SrAl3Se at its relaxed geometry.

Cell and atoms, written as CIF:
```
data_SrAl3Se
_chemical_formula_sum 'Sr1 Al3 Se1'
_cell_length_a 5.900
_cell_length_b 5.900
_cell_length_c 5.900
_cell_angle_alpha 90.00
_cell_angle_beta 90.00
_cell_angle_gamma 90.00
_space_group_name_H-M_alt 'P m -3 m'
_space_group_IT_number 221
_space_group_name_Hall '-P 4 2 3'
loop_
_atom_site_label
_atom_site_fract_x
_atom_site_fract_y
_atom_site_fract_z
Sr1 0.000 0.000 0.000
Al1 0.000 0.000 0.500
Se1 0.500 0.500 0.500
```

## Properties
Energy above the lowest structure with this stoichiometry, meV per atom: 1082
Total magnetization, μB/f.u.: 0.0
Raw formation energy, eV/atom: 1.336